DFT (GGA-PBE) results for an optimized crystal structure of BaLa2Re2.

Values from the calculation:
magnetization = 0.00 μB/cell
formation energy = 1.5237 eV per atom
total DFT energy (no corrections) = -5.81 eV per atom

Lattice parameters (Å, degrees): 5.1091 5.1091 5.5205 90.00 90.00 90.00
Closest atoms and distances in Å follow each position.
Fractional positions:
La (0.0000, 0.0000, 0.0000)  4 Re 2.55, 2 La 2.76
La (0.0000, 0.0000, 0.5000)  2 La 2.76
Re (0.0000, 0.5000, 0.0000)  2 La 2.55
Re (0.5000, 0.0000, 0.0000)  2 La 2.55
Ba (0.5000, 0.5000, 0.5000)  4 La 3.61, 8 Re 3.76